(1)
{"formula": "CsAlCl4", "functional": "PBE", "state": "optimized geometry", "final_energy_ev_per_atom": -3.8108, "raw_formation_energy_ev_per_atom": -1.81, "spacegroup": "Pnma (62)", "lattice_angstrom": [[7.261, 0.000, 0.000], [0.000, 9.711, 0.000], [0.000, 0.000, 12.049]], "species": ["Cl", "Cl", "Cl", "Cl", "Cl", "Cl", "Cl", "Cl", "Cl", "Cl", "Cl", "Cl", "Cl", "Cl", "Cl", "Cl", "Al", "Al", "Al", "Al", "Cs", "Cs", "Cs", "Cs"], "frac_coords": [[0.250, 0.543, 0.695], [0.009, 0.826, 0.587], [0.991, 0.326, 0.913], [0.750, 0.111, 0.098], [0.750, 0.389, 0.598], [0.009, 0.674, 0.087], [0.991, 0.174, 0.413], [0.250, 0.957, 0.195], [0.250, 0.611, 0.402], [0.509, 0.326, 0.913], [0.491, 0.826, 0.587], [0.750, 0.457, 0.305], [0.491, 0.674, 0.087], [0.750, 0.043, 0.805], [0.509, 0.174, 0.413], [0.250, 0.889, 0.902], [0.250, 0.803, 0.066], [0.750, 0.303, 0.434], [0.750, 0.197, 0.934], [0.250, 0.697, 0.566], [0.250, 0.160, 0.681], [0.750, 0.660, 0.819], [0.250, 0.340, 0.181], [0.750, 0.840, 0.319]]}

---

(2)
{"formula": "CsAlCl4", "functional": "PBE", "state": "optimized geometry", "final_energy_ev_per_atom": -3.6336, "raw_formation_energy_ev_per_atom": -1.64, "spacegroup": "C2/c (15)", "lattice_angstrom": [[6.564, 0.000, 0.000], [0.000, 6.578, -0.284], [-3.282, -3.076, 7.883]], "species": ["Cl", "Cl", "Cl", "Cl", "Cl", "Cl", "Cl", "Cl", "Al", "Al", "Cs", "Cs"], "frac_coords": [[0.155, 0.160, 0.438], [0.788, 0.371, 0.217], [0.845, 0.840, 0.562], [0.282, 0.660, 0.438], [0.571, 0.129, 0.783], [0.718, 0.340, 0.562], [0.212, 0.629, 0.783], [0.429, 0.871, 0.217], [0.500, 0.000, 0.500], [0.000, 0.500, 0.500], [0.212, 0.250, 0.000], [0.788, 0.750, 0.000]]}

---

(3)
{"formula": "CsAl2Cl8", "functional": "PBE", "state": "optimized geometry", "final_energy_ev_per_atom": -3.5618, "raw_formation_energy_ev_per_atom": -1.46, "spacegroup": "C2/m (12)", "lattice_angstrom": [[-3.321, 1.928, -6.127], [4.987, -5.637, -0.210], [-7.783, -3.000, 3.274]], "species": ["Cl", "Cl", "Cl", "Cl", "Cl", "Cl", "Cl", "Cl", "Al", "Al", "Cs"], "frac_coords": [[0.584, 0.653, 0.198], [0.416, 0.347, 0.802], [0.069, 0.653, 0.198], [0.148, 0.296, 0.452], [0.852, 0.704, 0.548], [0.598, 0.195, 0.209], [0.931, 0.347, 0.802], [0.402, 0.805, 0.791], [0.228, 0.455, 0.710], [0.772, 0.545, 0.290], [0.000, 0.000, 0.000]]}

---

(4)
{"formula": "CsAlCl14", "functional": "PBE", "state": "optimized geometry", "final_energy_ev_per_atom": -2.4688, "raw_formation_energy_ev_per_atom": -0.57, "spacegroup": "Pm (6)", "lattice_angstrom": [[-12.009, -2.692, -6.573], [8.807, -2.287, 4.204], [-5.350, -1.503, 10.389]], "species": ["Cl", "Cl", "Cl", "Cl", "Cl", "Cl", "Cl", "Cl", "Cl", "Cl", "Cl", "Cl", "Cl", "Cl", "Cs", "Al"], "frac_coords": [[0.378, 0.762, 0.500], [0.211, 0.460, 0.000], [0.614, 0.331, 0.350], [0.752, 0.454, 0.000], [0.409, 0.007, 0.000], [0.997, 0.030, 0.000], [0.656, 0.676, 0.335], [0.730, 0.954, 0.218], [0.090, 0.713, 0.500], [0.614, 0.331, 0.650], [0.656, 0.676, 0.665], [0.808, 0.254, 0.182], [0.730, 0.954, 0.782], [0.808, 0.254, 0.818], [0.135, 0.125, 0.500], [0.413, 0.020, 0.500]]}

---

(5)
{"formula": "Cs4AlCl7", "functional": "PBE", "state": "optimized geometry", "final_energy_ev_per_atom": -3.2934, "raw_formation_energy_ev_per_atom": -1.62, "spacegroup": "C2/m (12)", "lattice_angstrom": [[-3.941, -2.824, -0.594], [4.631, -9.887, -3.798], [-1.500, -4.000, 8.883]], "species": ["Cl", "Cl", "Cl", "Cl", "Cl", "Cl", "Cl", "Cs", "Cs", "Cs", "Cs", "Al"], "frac_coords": [[0.744, 0.868, 0.644], [0.256, 0.132, 0.356], [0.046, 0.830, 0.079], [0.954, 0.170, 0.921], [0.386, 0.428, 0.801], [0.614, 0.572, 0.199], [0.500, 0.000, 0.000], [0.237, 0.372, 0.153], [0.615, 0.172, 0.598], [0.385, 0.828, 0.402], [0.763, 0.628, 0.847], [0.000, 0.000, 0.000]]}

---

(6)
{"formula": "CsAl2Cl", "functional": "PBE", "state": "optimized geometry", "final_energy_ev_per_atom": -2.7417, "raw_formation_energy_ev_per_atom": -0.20, "spacegroup": "I-42d (122)", "lattice_angstrom": [[-4.536, -1.153, -1.362], [0.377, -4.255, 2.349], [-6.248, 2.266, 10.167]], "species": ["Cs", "Cs", "Al", "Al", "Al", "Al", "Cl", "Cl"], "frac_coords": [[0.000, 0.000, 0.000], [0.750, 0.250, 0.500], [0.476, 0.125, 0.250], [0.875, 0.726, 0.750], [0.274, 0.625, 0.250], [0.375, 0.524, 0.750], [0.250, 0.750, 0.500], [0.500, 0.500, 0.000]]}

---

(7)
{"formula": "CsAlCu2Cl8", "functional": "PBE", "state": "optimized geometry", "final_energy_ev_per_atom": -3.3166, "raw_formation_energy_ev_per_atom": -1.02, "spacegroup": "P-3 (147)", "lattice_angstrom": [[-2.847, 4.760, -3.018], [-3.431, -4.146, 3.303], [0.890, 5.477, 7.800]], "species": ["Cl", "Cl", "Cl", "Cl", "Cl", "Cl", "Cl", "Cl", "Cu", "Cu", "Al", "Cs"], "frac_coords": [[0.010, 0.703, 0.357], [0.990, 0.297, 0.643], [0.667, 0.333, 0.077], [0.297, 0.307, 0.357], [0.333, 0.667, 0.923], [0.307, 0.010, 0.643], [0.693, 0.990, 0.357], [0.703, 0.693, 0.643], [0.333, 0.667, 0.692], [0.667, 0.333, 0.308], [0.000, 0.000, 0.500], [0.000, 0.000, 0.000]]}

---

(8)
{"formula": "CsAl2CuCl8", "functional": "PBE", "state": "optimized geometry", "final_energy_ev_per_atom": -3.7116, "raw_formation_energy_ev_per_atom": -1.44, "spacegroup": "R-3 (148)", "lattice_angstrom": [[6.421, 0.000, 0.000], [3.210, 5.561, 0.000], [3.210, 1.854, 9.700]], "species": ["Cl", "Cl", "Cl", "Cl", "Cl", "Cl", "Cl", "Cl", "Al", "Al", "Cu", "Cs"], "frac_coords": [[0.967, 0.612, 0.158], [0.263, 0.967, 0.158], [0.815, 0.815, 0.554], [0.388, 0.737, 0.842], [0.185, 0.185, 0.446], [0.612, 0.263, 0.158], [0.033, 0.388, 0.842], [0.737, 0.033, 0.842], [0.259, 0.259, 0.222], [0.741, 0.741, 0.778], [0.000, 0.000, 0.000], [0.500, 0.500, 0.500]]}